<i>
# LiZn12 | Alexandria | PBE-GGA | relaxed
# ρ   4.31 g/cm³
# Space-group type   Fm-3m (225)
data_LiZn12
_chemical_formula_sum 'Li1 Zn12'
_cell_length_a 7.5536
_cell_length_b 7.5536
_cell_length_c 7.5536
_cell_angle_alpha 60.00
_cell_angle_beta 60.00
_cell_angle_gamma 60.00
_symmetry_space_group_name_H-M 'P 1'
_symmetry_Int_Tables_number 1
loop_
_symmetry_equiv_pos_as_xyz
'x,y,z'
loop_
_atom_site_label
_atom_site_type_symbol
_atom_site_fract_x
_atom_site_fract_y
_atom_site_fract_z
Li1 Li 0.0000 0.0000 0.0000
Zn1 Zn 0.1602 0.5000 0.5000
Zn2 Zn 0.1602 0.5000 0.8398
Zn3 Zn 0.1602 0.8398 0.5000
Zn4 Zn 0.5000 0.1602 0.5000
Zn5 Zn 0.5000 0.1602 0.8398
Zn6 Zn 0.5000 0.5000 0.1602
Zn7 Zn 0.5000 0.5000 0.8398
Zn8 Zn 0.5000 0.8398 0.1602
Zn9 Zn 0.5000 0.8398 0.5000
Zn10 Zn 0.8398 0.1602 0.5000
Zn11 Zn 0.8398 0.5000 0.1602
Zn12 Zn 0.8398 0.5000 0.5000

=====

<ii>
# LiZn12 | Alexandria | PBE-GGA | relaxed
# ρ   6.42 g/cm³
# Space-group type   I4/mmm (139)
data_LiZn12
_chemical_formula_sum 'Li1 Zn12'
_cell_length_a 6.7911
_cell_length_b 6.7911
_cell_length_c 6.7911
_cell_angle_alpha 98.46
_cell_angle_beta 98.46
_cell_angle_gamma 134.91
_symmetry_space_group_name_H-M 'P 1'
_symmetry_Int_Tables_number 1
loop_
_symmetry_equiv_pos_as_xyz
'x,y,z'
loop_
_atom_site_label
_atom_site_type_symbol
_atom_site_fract_x
_atom_site_fract_y
_atom_site_fract_z
Li1 Li 0.0000 0.0000 0.0000
Zn1 Zn 0.0000 0.0000 0.5000
Zn2 Zn 0.0000 0.3500 0.3500
Zn3 Zn 0.0000 0.5000 0.0000
Zn4 Zn 0.0000 0.6500 0.6500
Zn5 Zn 0.2851 0.5000 0.7851
Zn6 Zn 0.3500 0.0000 0.3500
Zn7 Zn 0.5000 0.0000 0.0000
Zn8 Zn 0.5000 0.2851 0.7851
Zn9 Zn 0.5000 0.5000 0.5000
Zn10 Zn 0.5000 0.7149 0.2149
Zn11 Zn 0.6500 0.0000 0.6500
Zn12 Zn 0.7149 0.5000 0.2149

=====

The most stable of them is <ii>.

=====

<i>
# Li7Zn3 | Alexandria | PBE-GGA | relaxed
# ρ   2.52 g/cm³
# Space-group type   C2/m (12)
data_Li7Zn3
_chemical_formula_sum 'Li7 Zn3'
_cell_length_a 7.4782
_cell_length_b 7.4782
_cell_length_c 5.5594
_cell_angle_alpha 102.29
_cell_angle_beta 102.29
_cell_angle_gamma 32.13
_symmetry_space_group_name_H-M 'P 1'
_symmetry_Int_Tables_number 1
loop_
_symmetry_equiv_pos_as_xyz
'x,y,z'
loop_
_atom_site_label
_atom_site_type_symbol
_atom_site_fract_x
_atom_site_fract_y
_atom_site_fract_z
Li1 Li 0.0000 0.0000 0.0000
Li2 Li 0.1986 0.1986 0.6002
Li3 Li 0.3957 0.3957 0.7077
Li4 Li 0.3997 0.3997 0.2087
Li5 Li 0.6003 0.6003 0.7913
Li6 Li 0.6043 0.6043 0.2923
Li7 Li 0.8014 0.8014 0.3998
Zn1 Zn 0.0000 0.0000 0.5000
Zn2 Zn 0.2059 0.2059 0.0958
Zn3 Zn 0.7941 0.7941 0.9042

=====

<ii>
# Li7Zn3 | Alexandria | PBE-GGA | relaxed
# ρ   2.29 g/cm³
# Space-group type   P6_3mc (186)
data_Li7Zn3
_chemical_formula_sum 'Li14 Zn6'
_cell_length_a 8.3880
_cell_length_b 8.3880
_cell_length_c 5.8320
_cell_angle_alpha 90.00
_cell_angle_beta 90.00
_cell_angle_gamma 120.00
_symmetry_space_group_name_H-M 'P 1'
_symmetry_Int_Tables_number 1
loop_
_symmetry_equiv_pos_as_xyz
'x,y,z'
loop_
_atom_site_label
_atom_site_type_symbol
_atom_site_fract_x
_atom_site_fract_y
_atom_site_fract_z
Li1 Li 0.0499 0.5250 0.0000
Li2 Li 0.1255 0.2510 0.7381
Li3 Li 0.1255 0.8745 0.7381
Li4 Li 0.2510 0.1255 0.2381
Li5 Li 0.3333 0.6667 0.6834
Li6 Li 0.4750 0.5250 0.0000
Li7 Li 0.4750 0.9501 0.0000
Li8 Li 0.5250 0.0499 0.5000
Li9 Li 0.5250 0.4750 0.5000
Li10 Li 0.6667 0.3333 0.1834
Li11 Li 0.7490 0.8745 0.7381
Li12 Li 0.8745 0.1255 0.2381
Li13 Li 0.8745 0.7490 0.2381
Li14 Li 0.9501 0.4750 0.5000
Zn1 Zn 0.2233 0.4467 0.3081
Zn2 Zn 0.2233 0.7767 0.3081
Zn3 Zn 0.4467 0.2233 0.8081
Zn4 Zn 0.5533 0.7767 0.3081
Zn5 Zn 0.7767 0.2233 0.8081
Zn6 Zn 0.7767 0.5533 0.8081

=====

The most stable of them is <i>.

=====

<i>
# LiZrZn2 | Alexandria | PBE-GGA | relaxed
# ρ   5.36 g/cm³
# Space-group type   Imm2 (44)
data_LiZrZn2
_chemical_formula_sum 'Li1 Zr1 Zn2'
_cell_length_a 5.8629
_cell_length_b 5.8629
_cell_length_c 5.8629
_cell_angle_alpha 152.25
_cell_angle_beta 130.50
_cell_angle_gamma 57.70
_symmetry_space_group_name_H-M 'P 1'
_symmetry_Int_Tables_number 1
loop_
_symmetry_equiv_pos_as_xyz
'x,y,z'
loop_
_atom_site_label
_atom_site_type_symbol
_atom_site_fract_x
_atom_site_fract_y
_atom_site_fract_z
Li1 Li 0.0000 0.0000 0.0000
Zr1 Zr 0.2953 0.7953 0.5000
Zn1 Zn 0.5427 0.5427 0.0000
Zn2 Zn 0.7540 0.2540 0.5000

=====

<ii>
# LiZrZn2 | Alexandria | PBE-GGA | relaxed
# ρ   5.30 g/cm³
# Space-group type   I-42d (122)
data_LiZrZn2
_chemical_formula_sum 'Li2 Zr2 Zn4'
_cell_length_a 5.7732
_cell_length_b 5.7732
_cell_length_c 5.7732
_cell_angle_alpha 104.02
_cell_angle_beta 104.02
_cell_angle_gamma 121.03
_symmetry_space_group_name_H-M 'P 1'
_symmetry_Int_Tables_number 1
loop_
_symmetry_equiv_pos_as_xyz
'x,y,z'
loop_
_atom_site_label
_atom_site_type_symbol
_atom_site_fract_x
_atom_site_fract_y
_atom_site_fract_z
Li1 Li 0.0000 0.0000 0.0000
Li2 Li 0.7500 0.2500 0.5000
Zr1 Zr 0.2500 0.7500 0.5000
Zr2 Zr 0.5000 0.5000 0.0000
Zn1 Zn 0.0906 0.6250 0.9656
Zn2 Zn 0.3750 0.3406 0.4656
Zn3 Zn 0.6594 0.1250 0.0344
Zn4 Zn 0.8750 0.9094 0.5344

=====

<iii>
# LiZrZn2 | Alexandria | PBE-GGA | relaxed
# ρ   5.68 g/cm³
# Space-group type   P4/mmm (123)
data_LiZrZn2
_chemical_formula_sum 'Li1 Zr1 Zn2'
_cell_length_a 3.1410
_cell_length_b 3.1410
_cell_length_c 6.7844
_cell_angle_alpha 90.00
_cell_angle_beta 90.00
_cell_angle_gamma 90.00
_symmetry_space_group_name_H-M 'P 1'
_symmetry_Int_Tables_number 1
loop_
_symmetry_equiv_pos_as_xyz
'x,y,z'
loop_
_atom_site_label
_atom_site_type_symbol
_atom_site_fract_x
_atom_site_fract_y
_atom_site_fract_z
Li1 Li 0.0000 0.0000 0.0000
Zr1 Zr 0.0000 0.0000 0.5000
Zn1 Zn 0.5000 0.5000 0.2207
Zn2 Zn 0.5000 0.5000 0.7793

=====

<iv>
# LiZrZn2 | Alexandria | PBE-GGA | relaxed
# ρ   5.35 g/cm³
# Space-group type   Cm (8)
data_LiZrZn2
_chemical_formula_sum 'Li1 Zr1 Zn2'
_cell_length_a 5.5017
_cell_length_b 5.5017
_cell_length_c 5.0724
_cell_angle_alpha 104.64
_cell_angle_beta 104.64
_cell_angle_gamma 28.66
_symmetry_space_group_name_H-M 'P 1'
_symmetry_Int_Tables_number 1
loop_
_symmetry_equiv_pos_as_xyz
'x,y,z'
loop_
_atom_site_label
_atom_site_type_symbol
_atom_site_fract_x
_atom_site_fract_y
_atom_site_fract_z
Li1 Li 0.0000 0.0000 0.0000
Zr1 Zr 0.1984 0.1984 0.6180
Zn1 Zn 0.4509 0.4509 0.4775
Zn2 Zn 0.7579 0.7579 0.1414

=====

The most stable of them is <iii>.

=====

<i>
# LiZrZn2 | Alexandria | PBE-GGA | relaxed
# ρ   5.66 g/cm³
# Space-group type   Fm-3m (225)
data_LiZrZn2
_chemical_formula_sum 'Li1 Zr1 Zn2'
_cell_length_a 4.5623
_cell_length_b 4.5623
_cell_length_c 4.5623
_cell_angle_alpha 60.00
_cell_angle_beta 60.00
_cell_angle_gamma 60.00
_symmetry_space_group_name_H-M 'P 1'
_symmetry_Int_Tables_number 1
loop_
_symmetry_equiv_pos_as_xyz
'x,y,z'
loop_
_atom_site_label
_atom_site_type_symbol
_atom_site_fract_x
_atom_site_fract_y
_atom_site_fract_z
Li1 Li 0.0000 0.0000 0.0000
Zr1 Zr 0.5000 0.5000 0.5000
Zn1 Zn 0.2500 0.2500 0.2500
Zn2 Zn 0.7500 0.7500 0.7500

=====

<ii>
# LiZrZn2 | Alexandria | PBE-GGA | relaxed
# ρ   5.46 g/cm³
# Space-group type   C2/m (12)
data_LiZrZn2
_chemical_formula_sum 'Li1 Zr1 Zn2'
_cell_length_a 4.5573
_cell_length_b 4.5573
_cell_length_c 5.6305
_cell_angle_alpha 99.92
_cell_angle_beta 99.92
_cell_angle_gamma 37.26
_symmetry_space_group_name_H-M 'P 1'
_symmetry_Int_Tables_number 1
loop_
_symmetry_equiv_pos_as_xyz
'x,y,z'
loop_
_atom_site_label
_atom_site_type_symbol
_atom_site_fract_x
_atom_site_fract_y
_atom_site_fract_z
Li1 Li 0.0000 0.0000 0.0000
Zr1 Zr 0.5000 0.5000 0.5000
Zn1 Zn 0.2567 0.2567 0.7943
Zn2 Zn 0.7433 0.7433 0.2057

=====

<iii>
# LiZrZn2 | Alexandria | PBE-GGA | relaxed
# ρ   5.35 g/cm³
# Space-group type   R-3m (166)
data_LiZrZn2
_chemical_formula_sum 'Li1 Zr1 Zn2'
_cell_length_a 9.8599
_cell_length_b 9.8599
_cell_length_c 9.8599
_cell_angle_alpha 16.95
_cell_angle_beta 16.95
_cell_angle_gamma 16.95
_symmetry_space_group_name_H-M 'P 1'
_symmetry_Int_Tables_number 1
loop_
_symmetry_equiv_pos_as_xyz
'x,y,z'
loop_
_atom_site_label
_atom_site_type_symbol
_atom_site_fract_x
_atom_site_fract_y
_atom_site_fract_z
Li1 Li 0.0000 0.0000 0.0000
Zr1 Zr 0.5000 0.5000 0.5000
Zn1 Zn 0.2542 0.2542 0.2542
Zn2 Zn 0.7458 0.7458 0.7458

=====

<iv>
# LiZrZn2 | Alexandria | PBE-GGA | relaxed
# ρ   5.96 g/cm³
# Space-group type   F-43m (216)
data_LiZrZn2
_chemical_formula_sum 'Li1 Zr1 Zn2'
_cell_length_a 4.4848
_cell_length_b 4.4848
_cell_length_c 4.4848
_cell_angle_alpha 60.00
_cell_angle_beta 60.00
_cell_angle_gamma 60.00
_symmetry_space_group_name_H-M 'P 1'
_symmetry_Int_Tables_number 1
loop_
_symmetry_equiv_pos_as_xyz
'x,y,z'
loop_
_atom_site_label
_atom_site_type_symbol
_atom_site_fract_x
_atom_site_fract_y
_atom_site_fract_z
Li1 Li 0.0000 0.0000 0.0000
Zr1 Zr 0.2500 0.2500 0.2500
Zn1 Zn 0.5000 0.5000 0.5000
Zn2 Zn 0.7500 0.7500 0.7500

=====

The most stable of them is <i>.

=====

<i>
# Li3ZrZn | Alexandria | PBE-GGA | relaxed
# ρ   3.19 g/cm³
# Space-group type   Pm-3m (221)
data_Li3ZrZn
_chemical_formula_sum 'Li3 Zr1 Zn1'
_cell_length_a 4.5216
_cell_length_b 4.5216
_cell_length_c 4.5216
_cell_angle_alpha 90.00
_cell_angle_beta 90.00
_cell_angle_gamma 90.00
_symmetry_space_group_name_H-M 'P 1'
_symmetry_Int_Tables_number 1
loop_
_symmetry_equiv_pos_as_xyz
'x,y,z'
loop_
_atom_site_label
_atom_site_type_symbol
_atom_site_fract_x
_atom_site_fract_y
_atom_site_fract_z
Li1 Li 0.0000 0.0000 0.5000
Li2 Li 0.0000 0.5000 0.0000
Li3 Li 0.5000 0.0000 0.0000
Zr1 Zr 0.5000 0.5000 0.5000
Zn1 Zn 0.0000 0.0000 0.0000

=====

<ii>
# Li3ZrZn | Alexandria | PBE-GGA | relaxed
# ρ   1.95 g/cm³
# Space-group type   Pm-3m (221)
data_Li3ZrZn
_chemical_formula_sum 'Li3 Zr1 Zn1'
_cell_length_a 5.3237
_cell_length_b 5.3237
_cell_length_c 5.3237
_cell_angle_alpha 90.00
_cell_angle_beta 90.00
_cell_angle_gamma 90.00
_symmetry_space_group_name_H-M 'P 1'
_symmetry_Int_Tables_number 1
loop_
_symmetry_equiv_pos_as_xyz
'x,y,z'
loop_
_atom_site_label
_atom_site_type_symbol
_atom_site_fract_x
_atom_site_fract_y
_atom_site_fract_z
Li1 Li 0.0000 0.0000 0.5000
Li2 Li 0.0000 0.5000 0.0000
Li3 Li 0.5000 0.0000 0.0000
Zr1 Zr 0.0000 0.0000 0.0000
Zn1 Zn 0.5000 0.5000 0.5000

=====

The most stable of them is <i>.